# 1
# Li2Mg2Ge

A relaxed Li2Mg2Ge crystal (PBEsol, Alexandria).

Geometry as CIF:
```
data_Li2Mg2Ge
_symmetry_space_group_name_H-M 'P 1'
_symmetry_Int_Tables_number 1
_cell_length_a 6.3804
_cell_length_b 6.3804
_cell_length_c 4.3642
_cell_angle_alpha 90.00
_cell_angle_beta 90.00
_cell_angle_gamma 90.00
loop_
_symmetry_equiv_pos_as_xyz
'x,y,z'
loop_
_atom_site_label
_atom_site_type_symbol
_atom_site_fract_x
_atom_site_fract_y
_atom_site_fract_z
Li1 Li 0.1385 0.3615 0.0000
Li2 Li 0.3615 0.8615 0.0000
Li3 Li 0.6385 0.1385 0.0000
Li4 Li 0.8615 0.6385 0.0000
Mg1 Mg 0.1793 0.6793 0.5000
Mg2 Mg 0.3207 0.1793 0.5000
Mg3 Mg 0.6793 0.8207 0.5000
Mg4 Mg 0.8207 0.3207 0.5000
Ge1 Ge 0.0000 0.0000 0.0000
Ge2 Ge 0.5000 0.5000 0.0000
```

Output
Crystal system: tetragonal
Total DFT energy (no corrections) (eV per atom): -2.574
Offset from the most stable computed form (eV per atom): 0.000
ΔH_f (0 K) (kJ per mole of atoms): -10.9
Calculated volume (Å³ per atom): 17.766


# 2
# Li3MgGe

A relaxed Li3MgGe crystal (PBEsol, Alexandria).

Geometry as CIF:
```
data_Li3MgGe
_symmetry_space_group_name_H-M 'P 1'
_symmetry_Int_Tables_number 1
_cell_length_a 4.7465
_cell_length_b 4.7465
_cell_length_c 4.7465
_cell_angle_alpha 90.00
_cell_angle_beta 90.00
_cell_angle_gamma 90.00
loop_
_symmetry_equiv_pos_as_xyz
'x,y,z'
loop_
_atom_site_label
_atom_site_type_symbol
_atom_site_fract_x
_atom_site_fract_y
_atom_site_fract_z
Li1 Li 0.0000 0.0000 0.5000
Li2 Li 0.0000 0.5000 0.0000
Li3 Li 0.5000 0.0000 0.0000
Mg1 Mg 0.5000 0.5000 0.5000
Ge1 Ge 0.0000 0.0000 0.0000
```

Output
Crystal system: cubic
Total DFT energy (no corrections) (eV per atom): -2.480
ΔH_f (0 K) (kJ per mole of atoms): 3.0
Calculated volume (Å³ per atom): 21.387


# 3
# Li2Mg2Ge

A relaxed Li2Mg2Ge crystal (PBEsol, Alexandria).

Geometry as CIF:
```
data_Li2Mg2Ge
_symmetry_space_group_name_H-M 'P 1'
_symmetry_Int_Tables_number 1
_cell_length_a 8.4738
_cell_length_b 8.4738
_cell_length_c 8.4738
_cell_angle_alpha 156.23
_cell_angle_beta 156.23
_cell_angle_gamma 33.86
loop_
_symmetry_equiv_pos_as_xyz
'x,y,z'
loop_
_atom_site_label
_atom_site_type_symbol
_atom_site_fract_x
_atom_site_fract_y
_atom_site_fract_z
Li1 Li 0.2500 0.7500 0.5000
Li2 Li 0.7500 0.2500 0.5000
Mg1 Mg 0.0985 0.0985 0.0000
Mg2 Mg 0.9015 0.9015 0.0000
Ge1 Ge 0.5000 0.5000 0.0000
```

Output
Crystal system: tetragonal
Total DFT energy (no corrections) (eV per atom): -2.392
Offset from the most stable computed form (eV per atom): 0.183
ΔH_f (0 K) (kJ per mole of atoms): 6.7
Calculated volume (Å³ per atom): 19.744


# 4
# Li2MgGe2

A relaxed Li2MgGe2 crystal (PBEsol, Alexandria).

Geometry as CIF:
```
data_Li2MgGe2
_symmetry_space_group_name_H-M 'P 1'
_symmetry_Int_Tables_number 1
_cell_length_a 7.1236
_cell_length_b 7.1236
_cell_length_c 3.3952
_cell_angle_alpha 90.00
_cell_angle_beta 90.00
_cell_angle_gamma 90.00
loop_
_symmetry_equiv_pos_as_xyz
'x,y,z'
loop_
_atom_site_label
_atom_site_type_symbol
_atom_site_fract_x
_atom_site_fract_y
_atom_site_fract_z
Li1 Li 0.1732 0.3268 0.0000
Li2 Li 0.3268 0.8268 0.0000
Li3 Li 0.6732 0.1732 0.0000
Li4 Li 0.8268 0.6732 0.0000
Mg1 Mg 0.0000 0.0000 0.5000
Mg2 Mg 0.5000 0.5000 0.5000
Ge1 Ge 0.1243 0.6243 0.5000
Ge2 Ge 0.3757 0.1243 0.5000
Ge3 Ge 0.6243 0.8757 0.5000
Ge4 Ge 0.8757 0.3757 0.5000
```

Output
Crystal system: tetragonal
Total DFT energy (no corrections) (eV per atom): -3.348
Offset from the most stable computed form (eV per atom): 0.000
ΔH_f (0 K) (kJ per mole of atoms): -23.4
Calculated volume (Å³ per atom): 17.229


# 5
# Li2MgGe2

A relaxed Li2MgGe2 crystal (PBEsol, Alexandria).

Geometry as CIF:
```
data_Li2MgGe2
_symmetry_space_group_name_H-M 'P 1'
_symmetry_Int_Tables_number 1
_cell_length_a 6.4842
_cell_length_b 6.4842
_cell_length_c 6.4842
_cell_angle_alpha 145.48
_cell_angle_beta 145.48
_cell_angle_gamma 49.62
loop_
_symmetry_equiv_pos_as_xyz
'x,y,z'
loop_
_atom_site_label
_atom_site_type_symbol
_atom_site_fract_x
_atom_site_fract_y
_atom_site_fract_z
Li1 Li 0.2500 0.7500 0.5000
Li2 Li 0.7500 0.2500 0.5000
Mg1 Mg 0.0000 0.0000 0.0000
Ge1 Ge 0.3992 0.3992 0.0000
Ge2 Ge 0.6008 0.6008 0.0000
```

Output
Crystal system: tetragonal
Total DFT energy (no corrections) (eV per atom): -3.322
Offset from the most stable computed form (eV per atom): 0.026
ΔH_f (0 K) (kJ per mole of atoms): -20.8
Calculated volume (Å³ per atom): 17.430


# 6
# LiMn3Ge

A relaxed LiMn3Ge crystal (PBEsol, Alexandria).

Geometry as CIF:
```
data_LiMn3Ge
_symmetry_space_group_name_H-M 'P 1'
_symmetry_Int_Tables_number 1
_cell_length_a 4.0019
_cell_length_b 4.0019
_cell_length_c 4.0019
_cell_angle_alpha 90.00
_cell_angle_beta 90.00
_cell_angle_gamma 90.00
loop_
_symmetry_equiv_pos_as_xyz
'x,y,z'
loop_
_atom_site_label
_atom_site_type_symbol
_atom_site_fract_x
_atom_site_fract_y
_atom_site_fract_z
Li1 Li 0.0000 0.0000 0.0000
Mn1 Mn 0.0000 0.0000 0.5000
Mn2 Mn 0.0000 0.5000 0.0000
Mn3 Mn 0.5000 0.0000 0.0000
Ge1 Ge 0.5000 0.5000 0.5000
```

Output
Crystal system: cubic
Total DFT energy (no corrections) (eV per atom): -6.221
ΔH_f (0 K) (kJ per mole of atoms): 98.1
Calculated volume (Å³ per atom): 12.818


# 7
# LiGe2Mo

A relaxed LiGe2Mo crystal (PBEsol, Alexandria).

Geometry as CIF:
```
data_LiGe2Mo
_symmetry_space_group_name_H-M 'P 1'
_symmetry_Int_Tables_number 1
_cell_length_a 4.3671
_cell_length_b 4.3671
_cell_length_c 4.3671
_cell_angle_alpha 60.00
_cell_angle_beta 60.00
_cell_angle_gamma 60.00
loop_
_symmetry_equiv_pos_as_xyz
'x,y,z'
loop_
_atom_site_label
_atom_site_type_symbol
_atom_site_fract_x
_atom_site_fract_y
_atom_site_fract_z
Li1 Li 0.0000 0.0000 0.0000
Ge1 Ge 0.2500 0.2500 0.2500
Ge2 Ge 0.7500 0.7500 0.7500
Mo1 Mo 0.5000 0.5000 0.5000
```

Output
Crystal system: cubic
Total DFT energy (no corrections) (eV per atom): -5.826
ΔH_f (0 K) (kJ per mole of atoms): 7.4
Calculated volume (Å³ per atom): 14.724


# 8
# Li2GeN2

A relaxed Li2GeN2 crystal (PBEsol, Alexandria).

Geometry as CIF:
```
data_Li2GeN2
_symmetry_space_group_name_H-M 'P 1'
_symmetry_Int_Tables_number 1
_cell_length_a 5.4805
_cell_length_b 6.6095
_cell_length_c 5.5034
_cell_angle_alpha 90.00
_cell_angle_beta 91.94
_cell_angle_gamma 90.00
loop_
_symmetry_equiv_pos_as_xyz
'x,y,z'
loop_
_atom_site_label
_atom_site_type_symbol
_atom_site_fract_x
_atom_site_fract_y
_atom_site_fract_z
Li1 Li 0.0541 0.1604 0.2289
Li2 Li 0.0541 0.3396 0.7289
Li3 Li 0.3143 0.0978 0.9070
Li4 Li 0.3143 0.4022 0.4070
Li5 Li 0.6857 0.5978 0.5930
Li6 Li 0.6857 0.9022 0.0930
Li7 Li 0.9459 0.6604 0.2711
Li8 Li 0.9459 0.8396 0.7711
Ge1 Ge 0.3487 0.6381 0.9256
Ge2 Ge 0.3487 0.8619 0.4256
Ge3 Ge 0.6513 0.1381 0.5744
Ge4 Ge 0.6513 0.3619 0.0744
N1 N 0.2275 0.6477 0.6044
N2 N 0.2275 0.8523 0.1044
N3 N 0.2999 0.1223 0.5504
N4 N 0.2999 0.3777 0.0504
N5 N 0.7001 0.6223 0.9496
N6 N 0.7001 0.8777 0.4496
N7 N 0.7725 0.1477 0.8956
N8 N 0.7725 0.3523 0.3956
```

Output
Crystal system: monoclinic
Total DFT energy (no corrections) (eV per atom): -5.729
Calculated volume (Å³ per atom): 9.962


# 9
# LiGe3N

A relaxed LiGe3N crystal (PBEsol, Alexandria).

Geometry as CIF:
```
data_LiGe3N
_symmetry_space_group_name_H-M 'P 1'
_symmetry_Int_Tables_number 1
_cell_length_a 4.3131
_cell_length_b 4.3131
_cell_length_c 4.3131
_cell_angle_alpha 90.00
_cell_angle_beta 90.00
_cell_angle_gamma 90.00
loop_
_symmetry_equiv_pos_as_xyz
'x,y,z'
loop_
_atom_site_label
_atom_site_type_symbol
_atom_site_fract_x
_atom_site_fract_y
_atom_site_fract_z
Li1 Li 0.0000 0.0000 0.0000
Ge1 Ge 0.0000 0.0000 0.5000
Ge2 Ge 0.0000 0.5000 0.0000
Ge3 Ge 0.5000 0.0000 0.0000
N1 N 0.5000 0.5000 0.5000
```

Output
Crystal system: cubic
Total DFT energy (no corrections) (eV per atom): -3.750
Calculated volume (Å³ per atom): 16.047


# 10
# LiGeNO2

A relaxed LiGeNO2 crystal (PBEsol, Alexandria).

Geometry as CIF:
```
data_LiGeNO2
_symmetry_space_group_name_H-M 'P 1'
_symmetry_Int_Tables_number 1
_cell_length_a 3.6237
_cell_length_b 3.6237
_cell_length_c 3.8252
_cell_angle_alpha 90.00
_cell_angle_beta 90.00
_cell_angle_gamma 90.00
loop_
_symmetry_equiv_pos_as_xyz
'x,y,z'
loop_
_atom_site_label
_atom_site_type_symbol
_atom_site_fract_x
_atom_site_fract_y
_atom_site_fract_z
Li1 Li 0.0000 0.0000 0.0000
Ge1 Ge 0.5000 0.5000 0.5000
N1 N 0.0000 0.0000 0.5000
O1 O 0.0000 0.5000 0.0000
O2 O 0.5000 0.0000 0.0000
```

Output
Crystal system: tetragonal
Total DFT energy (no corrections) (eV per atom): -4.663
Calculated volume (Å³ per atom): 10.046


# 11
# NaLi3Ge

A relaxed NaLi3Ge crystal (PBEsol, Alexandria).

Geometry as CIF:
```
data_NaLi3Ge
_symmetry_space_group_name_H-M 'P 1'
_symmetry_Int_Tables_number 1
_cell_length_a 4.9024
_cell_length_b 4.9024
_cell_length_c 4.9024
_cell_angle_alpha 90.00
_cell_angle_beta 90.00
_cell_angle_gamma 90.00
loop_
_symmetry_equiv_pos_as_xyz
'x,y,z'
loop_
_atom_site_label
_atom_site_type_symbol
_atom_site_fract_x
_atom_site_fract_y
_atom_site_fract_z
Na1 Na 0.0000 0.0000 0.0000
Li1 Li 0.0000 0.5000 0.5000
Li2 Li 0.5000 0.0000 0.5000
Li3 Li 0.5000 0.5000 0.0000
Ge1 Ge 0.5000 0.5000 0.5000
```

Output
Crystal system: cubic
Total DFT energy (no corrections) (eV per atom): -2.564
ΔH_f (0 K) (kJ per mole of atoms): -11.2
Calculated volume (Å³ per atom): 23.564


Q: calculated volume of number 1 (Li2Mg2Ge)?
A: 17.766 Å³ per atom


Q: What is the calculated volume in the eleventh record?
A: 23.564 Å³ per atom